# 1
Here is a relaxed structure of ZrCuP2 from Alexandria via LeMat-Bulk. Energies are from GGA-PBEsol.

Lattice parameters (Å, degrees): 3.3166 3.3166 5.3043 90.00 90.00 90.00
With the nearest neighbours (Å) after each atom.
Fractional coordinates of all 4 atoms:
Zr 0.0000 0.0000 0.0000  2 Cu 2.65, 8 P 2.77
Cu 0.0000 0.0000 0.5000  8 P 2.62, 2 Zr 2.65
P 0.5000 0.5000 0.2793  1 P 2.34, 4 Cu 2.62
P 0.5000 0.5000 0.7207  1 P 2.34, 4 Cu 2.62

Summary:
SG: P4/mmm, No. 123

# 2
Here is a relaxed structure of Zr2CuP from Alexandria via LeMat-Bulk. Energies are from GGA-PBEsol.

Lattice parameters (Å, degrees): 4.5253 4.5253 3.2682 90.00 90.00 100.45
With the nearest neighbours (Å) after each atom.
Fractional coordinates of all 4 atoms:
Zr 0.0000 0.5000 0.0000  4 Cu 2.79, 4 P 2.79, 2 Zr 2.90
Zr 0.5000 0.0000 0.0000  4 Cu 2.79, 4 P 2.79, 2 Zr 2.90
Cu 0.0000 0.0000 0.5000  8 Zr 2.79, 2 P 2.90
P 0.5000 0.5000 0.5000  8 Zr 2.79, 2 Cu 2.90

Summary:
SG: Cmmm, No. 65

# 3
Here is a relaxed structure of Zr2CuP from Alexandria via LeMat-Bulk. Energies are from GGA-PBEsol.

Lattice parameters (Å, degrees): 3.6443 5.2878 5.2878 40.80 90.00 90.00
With the nearest neighbours (Å) after each atom.
Fractional coordinates of all 4 atoms:
Zr 0.0000 0.0000 0.0000  4 Cu 2.70, 3 P 2.75-2.88
Zr 0.5000 0.2973 0.2973  4 P 2.69, 3 Cu 2.78-2.85
Cu 0.5000 0.5774 0.5774  2 P 2.32
P 0.0000 0.7230 0.7230  2 Cu 2.32

Summary:
SG: Amm2, No. 38

Formation energy from the elements values (in eV/atom) by entry order: -0.457 -0.599 -0.903.
Energy values (in eV/atom) by entry order: -6.709 -7.675 -7.980.